Entry 1:
Na3Ce2CdSe6 (PBE-GGA, relaxed); theoretical density = 4.856 g/cm3; total magnetization = 0.0852 μB/atom; E_form (uncorrected) = -1361 meV per atom; space group = C2/m
1.0
3.634 -6.290 0.000
3.634 6.290 0.000
-2.418 0.000 6.998
Na Ce Cd Se
3 2 1 6
Direct
0.000 0.000 0.000
0.336 0.664 0.000
0.664 0.336 0.000
0.167 0.833 0.500
0.833 0.167 0.500
0.500 0.500 0.500
0.088 0.422 0.267
0.243 0.243 0.733
0.422 0.088 0.267
0.578 0.912 0.733
0.757 0.757 0.267
0.912 0.578 0.733



Entry 2:
Na2CeCdSe4 (PBE-GGA, relaxed); theoretical density = 4.904 g/cm3; total magnetization = 0.0000 μB/atom; E_form (uncorrected) = -1199 meV per atom; space group = P2/m
1.0
7.096 0.000 0.000
0.000 4.188 0.000
-2.517 0.000 6.999
Na Ce Cd Se
2 1 1 4
Direct
0.000 0.000 0.000
0.500 0.500 0.000
0.000 0.500 0.500
0.500 0.000 0.500
0.235 0.000 0.737
0.260 0.500 0.277
0.740 0.500 0.723
0.765 0.000 0.263



Entry 3:
NaCeCdSn (PBE-GGA, relaxed); theoretical density = 6.041 g/cm3; calculated formation energy = -0.29 eV/atom; total magnetization = 0.2607 μB/atom; space group = F-43m
1.0
0.000 3.784 3.784
3.784 0.000 3.784
3.784 3.784 0.000
Na Ce Cd Sn
1 1 1 1
Direct
0.000 0.000 0.000
0.500 0.500 0.500
0.750 0.750 0.750
0.250 0.250 0.250



Entry 4:
Na2CeCdTe4 (PBE-GGA, relaxed); theoretical density = 5.237 g/cm3; total magnetization = 0.0137 μB/atom; E_form (uncorrected) = -889 meV per atom; space group = P2/m
1.0
7.682 0.000 0.000
0.000 4.452 0.000
-2.701 0.000 7.501
Na Ce Cd Te
2 1 1 4
Direct
0.000 0.000 0.000
0.500 0.500 0.000
0.000 0.500 0.500
0.500 0.000 0.500
0.236 0.000 0.741
0.265 0.500 0.279
0.735 0.500 0.721
0.764 0.000 0.259



Entry 5:
NaCeTlCd (PBE-GGA, relaxed); theoretical density = 7.317 g/cm3; calculated formation energy = -0.14 eV/atom; total magnetization = 0.2352 μB/atom; space group = F-43m
1.0
0.000 3.790 3.790
3.790 0.000 3.790
3.790 3.790 0.000
Na Ce Tl Cd
1 1 1 1
Direct
0.000 0.000 0.000
0.500 0.500 0.500
0.750 0.750 0.750
0.250 0.250 0.250



Entry 6:
NaCeZnCd (PBE-GGA, relaxed); theoretical density = 5.712 g/cm3; calculated formation energy = -0.04 eV/atom; total magnetization = 0.2526 μB/atom; space group = F-43m
1.0
0.000 3.673 3.673
3.673 0.000 3.673
3.673 3.673 0.000
Na Ce Zn Cd
1 1 1 1
Direct
0.000 0.000 0.000
0.500 0.500 0.500
0.750 0.750 0.750
0.250 0.250 0.250